Record 1
# Ca2IrPb, relaxed, DFT PBE
data_Ca2IrPb
_chemical_formula_sum 'Ca6 Ir3 Pb3'
_space_group_name_H-M_alt 'R -3 m'
_space_group_IT_number 166
_space_group_name_Hall '-R 3 2"'
_cell_length_a 3.5396
_cell_length_b 3.5396
_cell_length_c 28.8580
_cell_angle_alpha 90.00
_cell_angle_beta 90.00
_cell_angle_gamma 120.00
loop_
_atom_site_label
_atom_site_type_symbol
_atom_site_fract_x
_atom_site_fract_y
_atom_site_fract_z
Ca1 Ca 0.0000 0.0000 0.2363
Ir1 Ir 0.0000 0.0000 0.5000
Pb1 Pb 0.0000 0.0000 0.0000
# Spin magnetization   0.00 μB per formula unit
# Final energy   -4.2579 eV/atom
# Density of states at the Fermi level   4.66 states/eV/cell
# Energy of formation   -0.459 eV/f.u.

---

Record 2
# Y2TmPaN4, relaxed, DFT PBE
data_Y2TmPaN4
_chemical_formula_sum 'Y2 Tm1 Pa1 N4'
_space_group_name_H-M_alt 'P 1 2/m 1'
_space_group_IT_number 10
_cell_length_a 5.976
_cell_length_b 3.481
_cell_length_c 5.991
_cell_angle_alpha 90.00
_cell_angle_beta 109.15
_cell_angle_gamma 90.00
loop_
_space_group_symop_operation_xyz
'x,y,z'
'-x,-y,-z'
'-x,y,-z'
'x,-y,z'
loop_
_atom_site_label
_atom_site_type_symbol
_atom_site_fract_x
_atom_site_fract_y
_atom_site_fract_z
Y1 Y 0.000 0.000 0.000
Y2 Y 0.500 0.500 0.000
Tm1 Tm 0.000 0.500 0.500
Pa1 Pa 0.500 0.000 0.500
N1 N 0.254 0.000 0.736
N2 N 0.256 0.500 0.261
# Spin magnetization   0.00 μB per formula unit
# Final energy   -9.2480 eV/atom
# Density of states at the Fermi level   3.58 states/eV/cell
# Formation energy (no corrections)   -1.72 eV/atom

---

Record 3
# Sr3Al5, relaxed, DFT PBE
data_Sr3Al5
_chemical_formula_sum 'Sr12 Al20'
_space_group_name_H-M_alt 'C 1 m 1'
_space_group_IT_number 8
_cell_length_a 7.184
_cell_length_b 17.390
_cell_length_c 8.477
_cell_angle_alpha 90.00
_cell_angle_beta 115.02
_cell_angle_gamma 90.00
loop_
_space_group_symop_operation_xyz
'x,y,z'
'x,-y,z'
'x+1/2,y+1/2,z'
'x+1/2,-y+1/2,z'
loop_
_atom_site_label
_atom_site_type_symbol
_atom_site_fract_x
_atom_site_fract_y
_atom_site_fract_z
Sr1 Sr 0.000 0.000 0.000
Sr2 Sr 0.063 0.250 0.173
Sr3 Sr 0.149 0.317 0.673
Sr4 Sr 0.174 0.500 0.346
Al1 Al 0.004 0.146 0.500
Al2 Al 0.030 0.424 0.946
Al3 Al 0.047 0.500 0.673
Al4 Al 0.173 0.000 0.673
Al5 Al 0.176 0.146 0.847
Al6 Al 0.258 0.076 0.400
# Spin magnetization   0.00 μB per formula unit
# Final energy   -3.0314 eV/atom
# Density of states at the Fermi level   18.90 states/eV/cell
# Polymorph energy (0 for the lowest one)   0.0 meV per atom
# Energy of formation   -0.493 eV/f.u.

---

Record 4
# Tb2NdIn, relaxed, DFT PBE
data_Tb2NdIn
_chemical_formula_sum 'Tb6 Nd3 In3'
_space_group_name_H-M_alt 'R 3 m'
_space_group_IT_number 160
_space_group_name_Hall 'R 3 -2"'
_cell_length_a 3.6492
_cell_length_b 3.6492
_cell_length_c 32.7030
_cell_angle_alpha 90.00
_cell_angle_beta 90.00
_cell_angle_gamma 120.00
loop_
_atom_site_label
_atom_site_type_symbol
_atom_site_fract_x
_atom_site_fract_y
_atom_site_fract_z
Tb1 Tb 0.0000 0.0000 0.0000
Tb2 Tb 0.0000 0.0000 0.1812
Nd1 Nd 0.0000 0.0000 0.7574
In1 In 0.0000 0.0000 0.5909
# Spin magnetization   0.00 μB per formula unit
# Final energy   -4.3262 eV/atom
# Density of states at the Fermi level   16.74 states/eV/cell
# Polymorph energy (0 for the lowest one)   132.8 meV per atom
# Energy of formation   -0.538 eV/f.u.

---

Record 5
# SnIrC, relaxed, DFT PBE
data_SnIrC
_chemical_formula_sum 'Sn1 Ir1 C1'
_space_group_name_H-M_alt 'P 1 m 1'
_space_group_IT_number 6
_cell_length_a 4.043
_cell_length_b 3.225
_cell_length_c 4.871
_cell_angle_alpha 90.00
_cell_angle_beta 114.29
_cell_angle_gamma 90.00
loop_
_space_group_symop_operation_xyz
'x,y,z'
'x,-y,z'
loop_
_atom_site_label
_atom_site_type_symbol
_atom_site_fract_x
_atom_site_fract_y
_atom_site_fract_z
Sn1 Sn 0.000 0.000 0.000
Ir1 Ir 0.372 0.500 0.741
C1 C 0.254 0.000 0.506
# Spin magnetization   0.00 μB per formula unit
# Final energy   -6.6423 eV/atom
# Density of states at the Fermi level   1.47 states/eV/cell
# Polymorph energy (0 for the lowest one)   251.9 meV per atom
# Energy of formation   2.161 eV/f.u.

---

Record 6
# Dy2Al8Ga, relaxed, DFT PBE
data_Dy2Al8Ga
_chemical_formula_sum 'Dy2 Al8 Ga1'
_space_group_name_H-M_alt 'P 4/m m m'
_space_group_IT_number 123
_space_group_name_Hall '-P 4 2'
_cell_length_a 4.305
_cell_length_b 4.305
_cell_length_c 11.541
_cell_angle_alpha 90.00
_cell_angle_beta 90.00
_cell_angle_gamma 90.00
loop_
_atom_site_label
_atom_site_type_symbol
_atom_site_fract_x
_atom_site_fract_y
_atom_site_fract_z
Dy1 Dy 0.000 0.000 0.183
Al1 Al 0.000 0.500 0.000
Al2 Al 0.000 0.500 0.369
Al3 Al 0.500 0.500 0.188
Ga1 Ga 0.000 0.000 0.500
# Spin magnetization   0.00 μB per formula unit
# Final energy   -4.0455 eV/atom
# Density of states at the Fermi level   4.10 states/eV/cell
# Energy of formation   -2.329 eV/f.u.

---

Record 7
# NbCr2Cl6, relaxed, DFT PBE
data_NbCr2Cl6
_chemical_formula_sum 'Nb4 Cr8 Cl24'
_space_group_name_H-M_alt 'C 1 2/c 1'
_space_group_IT_number 15
_cell_length_a 13.636
_cell_length_b 11.589
_cell_length_c 5.812
_cell_angle_alpha 90.00
_cell_angle_beta 102.63
_cell_angle_gamma 90.00
loop_
_space_group_symop_operation_xyz
'x,y,z'
'-x,-y,-z'
'-x,y,-z+1/2'
'x,-y,z+1/2'
'x+1/2,y+1/2,z'
'-x+1/2,-y+1/2,-z'
'-x+1/2,y+1/2,-z+1/2'
'x+1/2,-y+1/2,z+1/2'
loop_
_atom_site_label
_atom_site_type_symbol
_atom_site_fract_x
_atom_site_fract_y
_atom_site_fract_z
Nb1 Nb 0.000 0.053 0.250
Cr1 Cr 0.032 0.404 0.124
Cl1 Cl 0.099 0.222 0.123
Cl2 Cl 0.113 0.422 0.656
Cl3 Cl 0.121 0.079 0.640
# Spin magnetization   1.20 μB per formula unit
# Final energy   -5.3184 eV/atom
# Density of states at the Fermi level   15.81 states/eV/cell
# Formation energy (no corrections)   -0.83 eV/atom

---

Record 8
# La8CdNi2, relaxed, DFT PBE
data_La8CdNi2
_chemical_formula_sum 'La16 Cd2 Ni4'
_space_group_name_H-M_alt 'C 1 2/m 1'
_space_group_IT_number 12
_cell_length_a 8.678
_cell_length_b 14.128
_cell_length_c 5.775
_cell_angle_alpha 90.00
_cell_angle_beta 105.24
_cell_angle_gamma 90.00
loop_
_space_group_symop_operation_xyz
'x,y,z'
'-x,-y,-z'
'-x,y,-z'
'x,-y,z'
'x+1/2,y+1/2,z'
'-x+1/2,-y+1/2,-z'
'-x+1/2,y+1/2,-z'
'x+1/2,-y+1/2,z'
loop_
_atom_site_label
_atom_site_type_symbol
_atom_site_fract_x
_atom_site_fract_y
_atom_site_fract_z
La1 La 0.000 0.247 0.000
La2 La 0.098 0.500 0.802
La3 La 0.213 0.125 0.564
Cd1 Cd 0.000 0.000 0.000
Ni1 Ni 0.000 0.289 0.500
# Spin magnetization   0.00 μB per formula unit
# Final energy   -4.8277 eV/atom
# Density of states at the Fermi level   29.64 states/eV/cell
# Energy of formation   -1.208 eV/f.u.

---

Record 9
# KTaTe2, relaxed, DFT PBE
data_KTaTe2
_chemical_formula_sum 'K1 Ta1 Te2'
_space_group_name_H-M_alt 'P 1 2/m 1'
_space_group_IT_number 10
_cell_length_a 3.524
_cell_length_b 3.511
_cell_length_c 8.458
_cell_angle_alpha 90.00
_cell_angle_beta 90.11
_cell_angle_gamma 90.00
loop_
_space_group_symop_operation_xyz
'x,y,z'
'-x,-y,-z'
'-x,y,-z'
'x,-y,z'
loop_
_atom_site_label
_atom_site_type_symbol
_atom_site_fract_x
_atom_site_fract_y
_atom_site_fract_z
K1 K 0.000 0.000 0.000
Ta1 Ta 0.000 0.000 0.500
Te1 Te 0.499 0.500 0.306
# Spin magnetization   0.00 μB per formula unit
# Final energy   -5.1763 eV/atom
# Density of states at the Fermi level   0.97 states/eV/cell
# Formation energy (no corrections)   -0.37 eV/atom

---

Record 10
# Zr2RuPt, relaxed, DFT PBE
data_Zr2RuPt
_chemical_formula_sum 'Zr2 Ru1 Pt1'
_space_group_name_H-M_alt 'P m m 2'
_space_group_IT_number 25
_cell_length_a 3.684
_cell_length_b 3.739
_cell_length_c 5.697
_cell_angle_alpha 90.00
_cell_angle_beta 90.00
_cell_angle_gamma 90.00
loop_
_space_group_symop_operation_xyz
'x,y,z'
'-x,-y,z'
'-x,y,z'
'x,-y,z'
loop_
_atom_site_label
_atom_site_type_symbol
_atom_site_fract_x
_atom_site_fract_y
_atom_site_fract_z
Zr1 Zr 0.000 0.000 0.000
Zr2 Zr 0.500 0.500 0.363
Ru1 Ru 0.500 0.500 0.890
Pt1 Pt 0.000 0.000 0.514
# Spin magnetization   0.00 μB per formula unit
# Final energy   -8.6550 eV/atom
# Density of states at the Fermi level   3.15 states/eV/cell
# Energy of formation   -2.207 eV/f.u.

---

Record 11
# Pm5SiS4, relaxed, DFT PBE
data_Pm5SiS4
_chemical_formula_sum 'Pm10 Si2 S8'
_space_group_name_H-M_alt 'I 4/m'
_space_group_IT_number 87
_space_group_name_Hall '-I 4'
_cell_length_a 9.143
_cell_length_b 9.143
_cell_length_c 5.758
_cell_angle_alpha 90.00
_cell_angle_beta 90.00
_cell_angle_gamma 90.00
loop_
_atom_site_label
_atom_site_type_symbol
_atom_site_fract_x
_atom_site_fract_y
_atom_site_fract_z
Pm1 Pm 0.000 0.000 0.000
Pm2 Pm 0.099 0.701 0.500
Si1 Si 0.000 0.000 0.500
S1 S 0.101 0.699 0.000
# Spin magnetization   0.00 μB per formula unit
# Final energy   -6.3794 eV/atom
# Density of states at the Fermi level   8.86 states/eV/cell
# Formation energy (no corrections)   -1.81 eV/atom

---

Record 12
# NaLi2VS4, relaxed, DFT PBE
data_NaLi2VS4
_chemical_formula_sum 'Na4 Li8 V4 S16'
_space_group_name_H-M_alt 'F m m 2'
_space_group_IT_number 42
_space_group_name_Hall 'F 2 -2'
_cell_length_a 8.568
_cell_length_b 8.580
_cell_length_c 9.745
_cell_angle_alpha 90.00
_cell_angle_beta 90.00
_cell_angle_gamma 90.00
loop_
_atom_site_label
_atom_site_type_symbol
_atom_site_fract_x
_atom_site_fract_y
_atom_site_fract_z
Na1 Na 0.000 0.000 0.000
Li1 Li 0.250 0.250 0.250
V1 V 0.000 0.000 0.501
S1 S 0.000 0.206 0.372
S2 S 0.206 0.000 0.629
# Spin magnetization   0.00 μB per formula unit
# Final energy   -4.9036 eV/atom
# Formation energy (no corrections)   -1.06 eV/atom

---

Record 13
# Ac7PrSm2, relaxed, DFT PBE
data_Ac7PrSm2
_chemical_formula_sum 'Ac14 Pr2 Sm4'
_space_group_name_H-M_alt 'C m m m'
_space_group_IT_number 65
_space_group_name_Hall '-C 2 2'
_cell_length_a 10.181
_cell_length_b 16.463
_cell_length_c 6.106
_cell_angle_alpha 90.00
_cell_angle_beta 90.00
_cell_angle_gamma 90.00
loop_
_atom_site_label
_atom_site_type_symbol
_atom_site_fract_x
_atom_site_fract_y
_atom_site_fract_z
Ac1 Ac 0.000 0.000 0.000
Ac2 Ac 0.000 0.255 0.500
Ac3 Ac 0.186 0.376 0.000
Pr1 Pr 0.000 0.500 0.500
Sm1 Sm 0.000 0.200 0.000
# Spin magnetization   0.39 μB per formula unit
# Final energy   -3.6988 eV/atom
# Density of states at the Fermi level   31.19 states/eV/cell
# Energy of formation   5.989 eV/f.u.